Density functional theory data (GGA+U) for a geometry-optimized Ba2MgCuNi2F14 structure.

Summary:
calculated volume	532.2	Å³/cell
spin magnetization	0.34	μB/atom
final energy	-4.67	eV/atom

extended XYZ file:
```
40
Lattice="5.331 0.000 0.000 2.548 6.863 0.000 1.132 0.214 14.545" Properties=species:S:1:pos:R:3 pbc="T T T"
Ba 0.000 0.000 0.000
Ba 3.388 6.908 7.081
Ba 5.619 5.466 3.815
Ba 6.470 5.517 10.897
Mg 2.854 2.469 1.941
Mg 3.607 3.045 8.956
Cu 3.230 2.756 5.450
Cu 3.803 2.866 12.721
Ni 6.412 4.469 14.543
Ni 5.935 4.244 7.328
Ni 5.858 1.268 3.571
Ni 6.526 1.261 10.901
F 2.722 4.446 13.334
F 2.900 6.266 4.259
F 2.209 1.827 12.503
F 4.018 6.429 11.693
F 1.713 0.616 2.090
F 3.544 3.601 10.946
F 2.234 1.210 4.802
F 2.818 2.130 7.233
F 2.771 1.247 9.777
F 3.705 4.266 1.123
F 3.641 3.383 3.666
F 4.225 4.301 6.099
F 4.063 2.130 14.497
F 4.752 4.896 8.810
F 6.135 6.165 13.753
F 5.399 3.904 12.939
F 6.106 6.109 6.639
F 4.885 1.286 12.109
F 4.264 1.074 2.366
F 5.285 2.490 7.976
F 4.846 1.725 5.275
F 6.146 2.967 10.448
F 6.317 5.138 1.286
F 5.490 0.376 9.614
F 5.666 2.549 0.447
F 6.944 3.786 5.623
F 6.508 3.022 2.923
F 7.532 4.443 8.529
```